Entry 1:
The following is a DFT calculation (SCAN) of a crystal of Ba2ScInSb relaxed with PBEsol.

```
data_Ba2ScInSb
_symmetry_space_group_name_H-M 'P 4/m m m'
_symmetry_Int_Tables_number 123
_symmetry_space_group_name_Hall '-P 4 2'
_cell_length_a 6.257
_cell_length_b 6.257
_cell_length_c 5.432
_cell_angle_alpha 90.00
_cell_angle_beta 90.00
_cell_angle_gamma 90.00
loop_
_atom_site_label
_atom_site_type_symbol
_atom_site_fract_x
_atom_site_fract_y
_atom_site_fract_z
Ba1 Ba 0.000 0.500 0.000
Sc1 Sc 0.000 0.000 0.500
In1 In 0.000 0.000 0.000
Sb1 Sb 0.500 0.500 0.500
```

Summary:
The density of states at the Fermi level is 0.8349 states/eV/atom.



Entry 2:
The following is a DFT calculation (SCAN) of a crystal of Ba2InSbTe5 relaxed with PBEsol.

```
data_Ba2InSbTe5
_symmetry_space_group_name_H-M 'P n m a'
_symmetry_Int_Tables_number 62
_cell_length_a 13.710
_cell_length_b 4.569
_cell_length_c 20.239
_cell_angle_alpha 90.00
_cell_angle_beta 90.00
_cell_angle_gamma 90.00
loop_
_symmetry_equiv_pos_as_xyz
'x,y,z'
'-x,-y,-z'
'-x+1/2,-y,z+1/2'
'x+1/2,y,-z+1/2'
'x+1/2,-y+1/2,-z+1/2'
'-x+1/2,y+1/2,z+1/2'
'-x,y+1/2,-z'
'x,-y+1/2,z'
loop_
_atom_site_label
_atom_site_type_symbol
_atom_site_fract_x
_atom_site_fract_y
_atom_site_fract_z
Ba1 Ba 0.052 0.250 0.134
Ba2 Ba 0.073 0.750 0.625
In1 In 0.178 0.750 0.318
Sb1 Sb 0.231 0.750 0.964
Te1 Te 0.001 0.250 0.745
Te2 Te 0.089 0.250 0.964
Te3 Te 0.103 0.750 0.449
Te4 Te 0.204 0.750 0.795
Te5 Te 0.240 0.750 0.105
```



Entry 3:
The following is a DFT calculation (SCAN) of a crystal of Ba2InSe relaxed with PBEsol.

```
data_Ba2InSe
_symmetry_space_group_name_H-M 'F m -3 m'
_symmetry_Int_Tables_number 225
_symmetry_space_group_name_Hall '-F 4 2 3'
_cell_length_a 8.159
_cell_length_b 8.159
_cell_length_c 8.159
_cell_angle_alpha 90.00
_cell_angle_beta 90.00
_cell_angle_gamma 90.00
loop_
_atom_site_label
_atom_site_type_symbol
_atom_site_fract_x
_atom_site_fract_y
_atom_site_fract_z
Ba1 Ba 0.250 0.250 0.250
In1 In 0.000 0.000 0.000
Se1 Se 0.000 0.000 0.500
```

Summary:
The density of states at the Fermi level is 1.0850 states/eV/atom.



Entry 4:
The following is a DFT calculation (SCAN) of a crystal of BaIn2Se4 relaxed with PBEsol.

```
data_BaIn2Se4
_symmetry_space_group_name_H-M 'F d d d'
_symmetry_Int_Tables_number 70
_cell_length_a 13.500
_cell_length_b 22.416
_cell_length_c 22.809
_cell_angle_alpha 90.00
_cell_angle_beta 90.00
_cell_angle_gamma 90.00
loop_
_symmetry_equiv_pos_as_xyz
'x,y,z'
'-x,-y,-z'
'-x+1/4,-y+1/4,z'
'x+1/4,y+1/4,-z'
'x,-y+1/4,-z+1/4'
'-x,y+1/4,z+1/4'
'-x+1/4,y,-z+1/4'
'x+1/4,-y,z+1/4'
'x,y+1/2,z+1/2'
'-x,-y+1/2,-z+1/2'
'-x+1/4,-y+3/4,z+1/2'
'x+1/4,y+3/4,-z+1/2'
'x,-y+3/4,-z+3/4'
'-x,y+3/4,z+3/4'
'-x+1/4,y+1/2,-z+3/4'
'x+1/4,-y+1/2,z+3/4'
'x+1/2,y,z+1/2'
'-x+1/2,-y,-z+1/2'
'-x+3/4,-y+1/4,z+1/2'
'x+3/4,y+1/4,-z+1/2'
'x+1/2,-y+1/4,-z+3/4'
'-x+1/2,y+1/4,z+3/4'
'-x+3/4,y,-z+3/4'
'x+3/4,-y,z+3/4'
'x+1/2,y+1/2,z'
'-x+1/2,-y+1/2,-z'
'-x+3/4,-y+3/4,z'
'x+3/4,y+3/4,-z'
'x+1/2,-y+3/4,-z+1/4'
'-x+1/2,y+3/4,z+1/4'
'-x+3/4,y+1/2,-z+1/4'
'x+3/4,-y+1/2,z+1/4'
loop_
_atom_site_label
_atom_site_type_symbol
_atom_site_fract_x
_atom_site_fract_y
_atom_site_fract_z
Ba1 Ba 0.125 0.125 0.125
Ba2 Ba 0.125 0.125 0.373
Ba3 Ba 0.125 0.125 0.625
In1 In 0.086 0.305 0.250
In2 In 0.125 0.261 0.499
Se1 Se 0.001 0.000 0.587
Se2 Se 0.001 0.000 0.913
Se3 Se 0.008 0.092 0.249
Se4 Se 0.018 0.087 0.751
```

Summary:
The density of states at the Fermi level is 0.0000 states/eV/atom.



Entry 5:
The following is a DFT calculation (SCAN) of a crystal of BaInSe relaxed with PBEsol.

```
data_BaInSe
_symmetry_space_group_name_H-M 'I 4 m m'
_symmetry_Int_Tables_number 107
_symmetry_space_group_name_Hall 'I 4 -2'
_cell_length_a 4.499
_cell_length_b 4.499
_cell_length_c 11.938
_cell_angle_alpha 90.00
_cell_angle_beta 90.00
_cell_angle_gamma 90.00
loop_
_atom_site_label
_atom_site_type_symbol
_atom_site_fract_x
_atom_site_fract_y
_atom_site_fract_z
Ba1 Ba 0.000 0.000 0.000
In1 In 0.000 0.000 0.292
Se1 Se 0.000 0.000 0.518
```

Summary:
The density of states at the Fermi level is 0.5730 states/eV/atom.



Entry 6:
The following is a DFT calculation (SCAN) of a crystal of Ba2InSe relaxed with PBEsol.

```
data_Ba2InSe
_symmetry_space_group_name_H-M 'P 4/m m m'
_symmetry_Int_Tables_number 123
_symmetry_space_group_name_Hall '-P 4 2'
_cell_length_a 5.814
_cell_length_b 5.814
_cell_length_c 3.956
_cell_angle_alpha 90.00
_cell_angle_beta 90.00
_cell_angle_gamma 90.00
loop_
_atom_site_label
_atom_site_type_symbol
_atom_site_fract_x
_atom_site_fract_y
_atom_site_fract_z
Ba1 Ba 0.000 0.500 0.000
In1 In 0.000 0.000 0.500
Se1 Se 0.500 0.500 0.500
```

Summary:
The density of states at the Fermi level is 0.6614 states/eV/atom.



Entry 7:
The following is a DFT calculation (SCAN) of a crystal of Ba3InSe relaxed with PBEsol.

```
data_Ba3InSe
_symmetry_space_group_name_H-M 'P m -3 m'
_symmetry_Int_Tables_number 221
_symmetry_space_group_name_Hall '-P 4 2 3'
_cell_length_a 6.158
_cell_length_b 6.158
_cell_length_c 6.158
_cell_angle_alpha 90.00
_cell_angle_beta 90.00
_cell_angle_gamma 90.00
loop_
_atom_site_label
_atom_site_type_symbol
_atom_site_fract_x
_atom_site_fract_y
_atom_site_fract_z
Ba1 Ba 0.000 0.000 0.500
In1 In 0.500 0.500 0.500
Se1 Se 0.000 0.000 0.000
```

Summary:
The density of states at the Fermi level is 1.3732 states/eV/atom.



Entry 8:
The following is a DFT calculation (SCAN) of a crystal of Ba4In2Te2Se5 relaxed with PBEsol.

```
data_Ba4In2Te2Se5
_symmetry_space_group_name_H-M 'P 4/m b m'
_symmetry_Int_Tables_number 127
_symmetry_space_group_name_Hall '-P 4 2ab'
_cell_length_a 8.556
_cell_length_b 8.556
_cell_length_c 11.268
_cell_angle_alpha 90.00
_cell_angle_beta 90.00
_cell_angle_gamma 90.00
loop_
_atom_site_label
_atom_site_type_symbol
_atom_site_fract_x
_atom_site_fract_y
_atom_site_fract_z
Ba1 Ba 0.000 0.000 0.213
Ba2 Ba 0.154 0.346 0.500
In1 In 0.000 0.500 0.154
Te1 Te 0.184 0.316 0.000
Se1 Se 0.000 0.000 0.500
Se2 Se 0.160 0.660 0.303
```

Summary:
The density of states at the Fermi level is 0.0000 states/eV/atom.



Entry 9:
The following is a DFT calculation (SCAN) of a crystal of Ba2InSi relaxed with PBEsol.

```
data_Ba2InSi
_symmetry_space_group_name_H-M 'F -4 3 m'
_symmetry_Int_Tables_number 216
_symmetry_space_group_name_Hall 'F -4 2 3'
_cell_length_a 7.998
_cell_length_b 7.998
_cell_length_c 7.998
_cell_angle_alpha 90.00
_cell_angle_beta 90.00
_cell_angle_gamma 90.00
loop_
_atom_site_label
_atom_site_type_symbol
_atom_site_fract_x
_atom_site_fract_y
_atom_site_fract_z
Ba1 Ba 0.000 0.000 0.000
Ba2 Ba 0.250 0.250 0.250
In1 In 0.250 0.250 0.750
Si1 Si 0.000 0.000 0.500
```

Summary:
The density of states at the Fermi level is 1.2398 states/eV/atom.



Entry 10:
The following is a DFT calculation (SCAN) of a crystal of BaInSi3 relaxed with PBEsol.

```
data_BaInSi3
_symmetry_space_group_name_H-M 'P m -3 m'
_symmetry_Int_Tables_number 221
_symmetry_space_group_name_Hall '-P 4 2 3'
_cell_length_a 5.584
_cell_length_b 5.584
_cell_length_c 5.584
_cell_angle_alpha 90.00
_cell_angle_beta 90.00
_cell_angle_gamma 90.00
loop_
_atom_site_label
_atom_site_type_symbol
_atom_site_fract_x
_atom_site_fract_y
_atom_site_fract_z
Ba1 Ba 0.000 0.000 0.000
In1 In 0.500 0.500 0.500
Si1 Si 0.000 0.000 0.500
```

Summary:
The density of states at the Fermi level is 0.6368 states/eV/atom.



Entry 11:
The following is a DFT calculation (SCAN) of a crystal of Ba3InSi relaxed with PBEsol.

```
data_Ba3InSi
_symmetry_space_group_name_H-M 'P m -3 m'
_symmetry_Int_Tables_number 221
_symmetry_space_group_name_Hall '-P 4 2 3'
_cell_length_a 6.374
_cell_length_b 6.374
_cell_length_c 6.374
_cell_angle_alpha 90.00
_cell_angle_beta 90.00
_cell_angle_gamma 90.00
loop_
_atom_site_label
_atom_site_type_symbol
_atom_site_fract_x
_atom_site_fract_y
_atom_site_fract_z
Ba1 Ba 0.000 0.000 0.500
In1 In 0.000 0.000 0.000
Si1 Si 0.500 0.500 0.500
```

Summary:
The density of states at the Fermi level is 1.8738 states/eV/atom.



| no. | calculated total energy (eV per atom) | calculated volume (Å³/cell) | formation energy (no corrections) (eV/atom) |
| --- | --- | --- | --- |
| 1 | -32.879 | 212.6 | -0.082 |
| 2 | -38.370 | 1267.6 | -1.036 |
| 3 | -34.060 | 543.2 | -0.919 |
| 4 | -27.850 | 6902.3 | -1.188 |
| 5 | -32.032 | 241.6 | -1.027 |
| 6 | -34.240 | 133.7 | -1.099 |
| 7 | -35.351 | 233.5 | -0.928 |
| 8 | -32.389 | 824.9 | -1.630 |
| 9 | -30.551 | 511.5 | 0.075 |
| 10 | -18.799 | 174.1 | 1.797 |
| 11 | -32.074 | 259.0 | 0.337 |